(1)
A plane-wave DFT calculation with PBE was carried out for a relaxed Na3BO crystal.

```
data_Na3BO
_chemical_formula_sum 'Na3 B1 O1'
_cell_length_a 4.540
_cell_length_b 4.540
_cell_length_c 4.540
_cell_angle_alpha 90.00
_cell_angle_beta 90.00
_cell_angle_gamma 90.00
_symmetry_space_group_name_H-M 'P m -3 m'
_symmetry_Int_Tables_number 221
_symmetry_space_group_name_Hall '-P 4 2 3'
loop_
_atom_site_label
_atom_site_fract_x
_atom_site_fract_y
_atom_site_fract_z
Na1 0.000 0.000 0.500
B1 0.500 0.500 0.500
O1 0.000 0.000 0.000
```

Computed properties:
E in eV/atom: -3.005
Total magnetization in μB/atom: 0.386
Energy above the most stable polymorph in this dataset in meV/atom: 0

***

(2)
A plane-wave DFT calculation with PBE was carried out for a relaxed Na5B2O6 crystal.

```
data_Na5B2O6
_chemical_formula_sum 'Na10 B4 O12'
_cell_length_a 3.550
_cell_length_b 8.666
_cell_length_c 11.087
_cell_angle_alpha 90.00
_cell_angle_beta 96.36
_cell_angle_gamma 90.00
_symmetry_space_group_name_H-M 'P 1 21 1'
_symmetry_Int_Tables_number 4
loop_
_symmetry_equiv_pos_as_xyz
'x,y,z'
'-x,y+1/2,-z'
loop_
_atom_site_label
_atom_site_fract_x
_atom_site_fract_y
_atom_site_fract_z
Na1 0.014 0.000 0.293
Na2 0.153 0.623 0.999
Na3 0.250 0.154 0.752
Na4 0.348 0.688 0.499
Na5 0.480 0.310 0.206
B1 0.167 0.394 0.410
B2 0.329 0.916 0.089
O1 0.049 0.257 0.354
O2 0.211 0.399 0.536
O3 0.235 0.793 0.158
O4 0.264 0.517 0.341
O5 0.286 0.912 0.963
O6 0.445 0.054 0.146
```

Computed properties:
E in eV/atom: -5.737
Total magnetization in μB/atom: 0.078

***

(3)
A plane-wave DFT calculation with PBE was carried out for a relaxed Na3B7O12 crystal.

```
data_Na3B7O12
_chemical_formula_sum 'Na6 B14 O24'
_cell_length_a 6.735
_cell_length_b 8.383
_cell_length_c 8.986
_cell_angle_alpha 94.12
_cell_angle_beta 100.82
_cell_angle_gamma 99.31
_symmetry_space_group_name_H-M 'P -1'
_symmetry_Int_Tables_number 2
loop_
_symmetry_equiv_pos_as_xyz
'x,y,z'
'-x,-y,-z'
loop_
_atom_site_label
_atom_site_fract_x
_atom_site_fract_y
_atom_site_fract_z
Na1 0.054 0.084 0.290
Na2 0.260 0.222 0.972
Na3 0.430 0.267 0.661
B1 0.103 0.734 0.254
B2 0.161 0.451 0.288
B3 0.183 0.493 0.725
B4 0.275 0.876 0.055
B5 0.290 0.846 0.532
B6 0.397 0.947 0.811
B7 0.491 0.307 0.299
O1 0.042 0.596 0.693
O2 0.104 0.820 0.114
O3 0.119 0.335 0.753
O4 0.174 0.856 0.390
O5 0.225 0.604 0.252
O6 0.238 0.924 0.909
O7 0.276 0.331 0.301
O8 0.278 0.954 0.653
O9 0.388 0.537 0.729
O10 0.422 0.737 0.549
O11 0.472 0.887 0.141
O12 0.476 0.176 0.181
```

Computed properties:
E in eV/atom: -7.394
Total magnetization in μB/atom: 0.000

***

(4)
A plane-wave DFT calculation with PBE was carried out for a relaxed NaB3O crystal.

```
data_NaB3O
_chemical_formula_sum 'Na1 B3 O1'
_cell_length_a 3.847
_cell_length_b 3.847
_cell_length_c 3.847
_cell_angle_alpha 90.00
_cell_angle_beta 90.00
_cell_angle_gamma 90.00
_symmetry_space_group_name_H-M 'P m -3 m'
_symmetry_Int_Tables_number 221
_symmetry_space_group_name_Hall '-P 4 2 3'
loop_
_atom_site_label
_atom_site_fract_x
_atom_site_fract_y
_atom_site_fract_z
Na1 0.000 0.000 0.000
B1 0.000 0.500 0.500
O1 0.500 0.500 0.500
```

Computed properties:
E in eV/atom: -3.391
Total magnetization in μB/atom: 0.000
Energy above the most stable polymorph in this dataset in meV/atom: 0

***

(5)
A plane-wave DFT calculation with PBE was carried out for a relaxed NaBOsO5 crystal.

```
data_NaBOsO5
_chemical_formula_sum 'Na4 B4 Os4 O20'
_cell_length_a 6.377
_cell_length_b 8.241
_cell_length_c 7.117
_cell_angle_alpha 90.00
_cell_angle_beta 116.44
_cell_angle_gamma 90.00
_symmetry_space_group_name_H-M 'C 1 2/c 1'
_symmetry_Int_Tables_number 15
loop_
_symmetry_equiv_pos_as_xyz
'x,y,z'
'-x,-y,-z'
'-x,y,-z+1/2'
'x,-y,z+1/2'
'x+1/2,y+1/2,z'
'-x+1/2,-y+1/2,-z'
'-x+1/2,y+1/2,-z+1/2'
'x+1/2,-y+1/2,z+1/2'
loop_
_atom_site_label
_atom_site_fract_x
_atom_site_fract_y
_atom_site_fract_z
Na1 0.000 0.161 0.250
B1 0.000 0.188 0.750
Os1 0.000 0.500 0.000
O1 0.000 0.431 0.250
O2 0.098 0.287 0.632
O3 0.179 0.076 0.903
```

Computed properties:
E in eV/atom: -7.030
Total magnetization in μB/atom: 0.017

***

(6)
A plane-wave DFT calculation with PBE was carried out for a relaxed Na5B2P3O13 crystal.

```
data_Na5B2P3O13
_chemical_formula_sum 'Na10 B4 P6 O26'
_cell_length_a 6.806
_cell_length_b 11.737
_cell_length_c 7.796
_cell_angle_alpha 90.00
_cell_angle_beta 115.12
_cell_angle_gamma 90.00
_symmetry_space_group_name_H-M 'P 1 21 1'
_symmetry_Int_Tables_number 4
loop_
_symmetry_equiv_pos_as_xyz
'x,y,z'
'-x,y+1/2,-z'
loop_
_atom_site_label
_atom_site_fract_x
_atom_site_fract_y
_atom_site_fract_z
Na1 0.022 0.000 0.476
Na2 0.124 0.230 0.277
Na3 0.144 0.722 0.271
Na4 0.399 0.594 0.964
Na5 0.449 0.498 0.481
B1 0.293 0.317 0.999
B2 0.364 0.865 0.006
P1 0.002 0.480 0.006
P2 0.341 0.767 0.682
P3 0.345 0.253 0.691
O1 0.009 0.551 0.845
O2 0.083 0.353 0.995
O3 0.132 0.529 0.202
O4 0.235 0.234 0.835
O5 0.235 0.801 0.824
O6 0.244 0.961 0.032
O7 0.245 0.354 0.560
O8 0.252 0.651 0.598
O9 0.307 0.860 0.538
O10 0.335 0.141 0.590
O11 0.407 0.777 0.164
O12 0.408 0.248 0.179
O13 0.434 0.405 0.990
```

Computed properties:
E in eV/atom: -6.668
Total magnetization in μB/atom: 0.000

***

(7)
A plane-wave DFT calculation with PBE was carried out for a relaxed NaBPO2 crystal.

```
data_NaBPO2
_chemical_formula_sum 'Na1 B1 P1 O2'
_cell_length_a 3.865
_cell_length_b 3.865
_cell_length_c 3.711
_cell_angle_alpha 90.00
_cell_angle_beta 90.00
_cell_angle_gamma 90.00
_symmetry_space_group_name_H-M 'P 4/m m m'
_symmetry_Int_Tables_number 123
_symmetry_space_group_name_Hall '-P 4 2'
loop_
_atom_site_label
_atom_site_fract_x
_atom_site_fract_y
_atom_site_fract_z
Na1 0.000 0.000 0.000
B1 0.500 0.500 0.500
P1 0.500 0.500 0.000
O1 0.000 0.500 0.500
```

Computed properties:
E in eV/atom: -4.547
Total magnetization in μB/atom: 0.000
Energy above the most stable polymorph in this dataset in meV/atom: 0

***

(8)
A plane-wave DFT calculation with PBE was carried out for a relaxed NaBPO2 crystal.

```
data_NaBPO2
_chemical_formula_sum 'Na1 B1 P1 O2'
_cell_length_a 3.933
_cell_length_b 3.933
_cell_length_c 5.598
_cell_angle_alpha 90.00
_cell_angle_beta 90.00
_cell_angle_gamma 90.00
_symmetry_space_group_name_H-M 'P 4/m m m'
_symmetry_Int_Tables_number 123
_symmetry_space_group_name_Hall '-P 4 2'
loop_
_atom_site_label
_atom_site_fract_x
_atom_site_fract_y
_atom_site_fract_z
Na1 0.000 0.000 0.000
B1 0.500 0.500 0.500
P1 0.000 0.000 0.500
O1 0.000 0.500 0.000
```

Computed properties:
E in eV/atom: -3.021
Total magnetization in μB/atom: 0.699
Energy above the most stable polymorph in this dataset in meV/atom: 1526

***

(9)
A plane-wave DFT calculation with PBE was carried out for a relaxed Na3BP2O8 crystal.

```
data_Na3BP2O8
_chemical_formula_sum 'Na24 B8 P16 O64'
_cell_length_a 12.735
_cell_length_b 10.386
_cell_length_c 10.354
_cell_angle_alpha 90.00
_cell_angle_beta 92.27
_cell_angle_gamma 90.00
_symmetry_space_group_name_H-M 'C 1 2/c 1'
_symmetry_Int_Tables_number 15
loop_
_symmetry_equiv_pos_as_xyz
'x,y,z'
'-x,-y,-z'
'-x,y,-z+1/2'
'x,-y,z+1/2'
'x+1/2,y+1/2,z'
'-x+1/2,-y+1/2,-z'
'-x+1/2,y+1/2,-z+1/2'
'x+1/2,-y+1/2,z+1/2'
loop_
_atom_site_label
_atom_site_fract_x
_atom_site_fract_y
_atom_site_fract_z
Na1 0.000 0.042 0.250
Na2 0.000 0.345 0.750
Na3 0.086 0.386 0.379
Na4 0.246 0.388 0.731
B1 0.134 0.111 0.999
P1 0.085 0.141 0.542
P2 0.160 0.371 0.061
O1 0.035 0.125 0.920
O2 0.096 0.161 0.397
O3 0.099 0.441 0.163
O4 0.129 0.402 0.921
O5 0.132 0.247 0.626
O6 0.133 0.004 0.587
O7 0.151 0.220 0.089
O8 0.219 0.096 0.907
```

Computed properties:
E in eV/atom: -6.649
Total magnetization in μB/atom: 0.000

***

(10)
A plane-wave DFT calculation with PBE was carried out for a relaxed Na3B6PO13 crystal.

```
data_Na3B6PO13
_chemical_formula_sum 'Na12 B24 P4 O52'
_cell_length_a 9.452
_cell_length_b 16.458
_cell_length_c 6.883
_cell_angle_alpha 90.00
_cell_angle_beta 90.00
_cell_angle_gamma 90.00
_symmetry_space_group_name_H-M 'P n m a'
_symmetry_Int_Tables_number 62
loop_
_symmetry_equiv_pos_as_xyz
'x,y,z'
'-x,-y,-z'
'-x+1/2,-y,z+1/2'
'x+1/2,y,-z+1/2'
'x+1/2,-y+1/2,-z+1/2'
'-x+1/2,y+1/2,z+1/2'
'-x,y+1/2,-z'
'x,-y+1/2,z'
loop_
_atom_site_label
_atom_site_fract_x
_atom_site_fract_y
_atom_site_fract_z
Na1 0.060 0.250 0.247
Na2 0.061 0.135 0.742
B1 0.064 0.554 0.805
B2 0.183 0.052 0.311
B3 0.190 0.671 0.964
P1 0.190 0.750 0.323
O1 0.053 0.750 0.438
O2 0.059 0.014 0.253
O3 0.060 0.626 0.899
O4 0.170 0.250 0.929
O5 0.180 0.124 0.407
O6 0.187 0.672 0.182
O7 0.190 0.513 0.766
O8 0.194 0.750 0.879
```

Computed properties:
E in eV/atom: -7.331
Total magnetization in μB/atom: 0.000

***

(11)
A plane-wave DFT calculation with PBE was carried out for a relaxed Na2SnBPO7 crystal.

```
data_Na2SnBPO7
_chemical_formula_sum 'Na4 Sn2 B2 P2 O14'
_cell_length_a 5.390
_cell_length_b 6.711
_cell_length_c 9.889
_cell_angle_alpha 90.00
_cell_angle_beta 94.87
_cell_angle_gamma 90.00
_symmetry_space_group_name_H-M 'P 1 21/m 1'
_symmetry_Int_Tables_number 11
loop_
_symmetry_equiv_pos_as_xyz
'x,y,z'
'-x,-y,-z'
'-x,y+1/2,-z'
'x,-y+1/2,z'
loop_
_atom_site_label
_atom_site_fract_x
_atom_site_fract_y
_atom_site_fract_z
Na1 0.247 0.005 0.332
Sn1 0.220 0.750 0.853
B1 0.273 0.750 0.599
P1 0.257 0.250 0.935
O1 0.041 0.750 0.659
O2 0.127 0.250 0.069
O3 0.182 0.065 0.847
O4 0.311 0.750 0.469
O5 0.454 0.750 0.030
O6 0.470 0.750 0.708
```

Computed properties:
E in eV/atom: -6.501
Total magnetization in μB/atom: 0.005

***

> Number 5 is which compound?

NaBOsO5